Entry from Alexandria via LeMat-Bulk: a geometry-optimized W2IF structure (GGA+U).

Results
- Excess energy over the best structure of this formula in the dataset: 282.6 meV/atom
- Space-group type: Fm-3m
- Total moment: 6.0 μB per formula unit

a = 6.7198 Å, b = 6.7198 Å, c = 6.7198 Å
α = 90.00°, β = 90.00°, γ = 90.00°
Fractional coordinates of all 16 atoms:
W 0.2500 0.2500 0.2500
W 0.2500 0.2500 0.7500
W 0.2500 0.7500 0.2500
W 0.2500 0.7500 0.7500
W 0.7500 0.2500 0.2500
W 0.7500 0.2500 0.7500
W 0.7500 0.7500 0.2500
W 0.7500 0.7500 0.7500
I 0.0000 0.0000 0.0000
I 0.0000 0.5000 0.5000
I 0.5000 0.0000 0.5000
I 0.5000 0.5000 0.0000
F 0.0000 0.0000 0.5000
F 0.0000 0.5000 0.0000
F 0.5000 0.0000 0.0000
F 0.5000 0.5000 0.5000